Below is an optimized crystal structure of K2Pu3CrO12, with properties calculated at the GGA+U level.

a = 7.389 Å, b = 7.389 Å, c = 7.389 Å
α = 63.97°, β = 63.97°, γ = 63.97°
Sites, in units of the cell vectors:
K 0.143 0.143 0.143
K 0.857 0.857 0.857
Pu 0.000 0.500 0.500
Pu 0.500 0.000 0.500
Pu 0.500 0.500 0.000
Cr 0.500 0.500 0.500
O 0.177 0.177 0.557
O 0.177 0.557 0.177
O 0.192 0.562 0.562
O 0.438 0.438 0.808
O 0.438 0.808 0.438
O 0.443 0.823 0.823
O 0.557 0.177 0.177
O 0.562 0.192 0.562
O 0.562 0.562 0.192
O 0.808 0.438 0.438
O 0.823 0.443 0.823
O 0.823 0.823 0.443

Results
SG: R-3m

---

Below is an optimized crystal structure of KPuCrO6, with properties calculated at the GGA+U level.

a = 5.263 Å, b = 5.263 Å, c = 6.028 Å
α = 90.58°, β = 90.58°, γ = 117.95°
Sites, in units of the cell vectors:
K 0.000 0.000 0.000
Pu 0.336 0.664 0.500
Cr 0.680 0.320 0.500
O 0.000 0.625 0.326
O 0.375 0.000 0.674
O 0.377 0.371 0.323
O 0.629 0.623 0.677
O 0.635 0.020 0.317
O 0.980 0.365 0.683

Results
SG: C2

---

Below is an optimized crystal structure of KRb3Cr2O8, with properties calculated at the GGA+U level.

a = 6.271 Å, b = 6.271 Å, c = 8.134 Å
α = 90.00°, β = 90.00°, γ = 120.00°
Sites, in units of the cell vectors:
K 0.000 0.000 0.000
Rb 0.000 0.000 0.500
Rb 0.333 0.667 0.178
Rb 0.667 0.333 0.822
Cr 0.333 0.667 0.720
Cr 0.667 0.333 0.280
O 0.188 0.377 0.790
O 0.188 0.812 0.790
O 0.333 0.667 0.517
O 0.377 0.188 0.210
O 0.623 0.812 0.790
O 0.667 0.333 0.483
O 0.812 0.188 0.210
O 0.812 0.623 0.210

Results
SG: P-3m1

---

Below is an optimized crystal structure of K2RbCr2O7, with properties calculated at the GGA+U level.

a = 8.624 Å, b = 8.624 Å, c = 8.624 Å
α = 44.78°, β = 44.78°, γ = 44.78°
Sites, in units of the cell vectors:
K 0.226 0.226 0.226
K 0.774 0.774 0.774
Rb 0.500 0.500 0.500
Cr 0.076 0.076 0.076
Cr 0.924 0.924 0.924
O 0.000 0.000 0.000
O 0.128 0.325 0.849
O 0.151 0.675 0.872
O 0.325 0.849 0.128
O 0.675 0.872 0.151
O 0.849 0.128 0.325
O 0.872 0.151 0.675

Results
SG: R32

---

Below is an optimized crystal structure of KRbCrO4, with properties calculated at the GGA+U level.

a = 5.516 Å, b = 6.038 Å, c = 8.160 Å
α = 90.00°, β = 104.82°, γ = 90.00°
Sites, in units of the cell vectors:
K 0.210 0.250 0.018
K 0.790 0.750 0.982
Rb 0.178 0.750 0.613
Rb 0.822 0.250 0.387
Cr 0.391 0.750 0.230
Cr 0.609 0.250 0.770
O 0.275 0.524 0.299
O 0.275 0.976 0.299
O 0.297 0.250 0.704
O 0.306 0.750 0.016
O 0.694 0.250 0.984
O 0.703 0.750 0.296
O 0.725 0.024 0.701
O 0.725 0.476 0.701

Results
SG: P2_1/m

---

Below is an optimized crystal structure of KCrReO6, with properties calculated at the GGA+U level.

a = 5.254 Å, b = 5.254 Å, c = 5.963 Å
α = 90.78°, β = 90.78°, γ = 122.33°
Sites, in units of the cell vectors:
K 0.000 0.000 0.000
Cr 0.655 0.345 0.500
Re 0.333 0.667 0.500
O 0.001 0.595 0.684
O 0.005 0.415 0.311
O 0.379 0.391 0.674
O 0.405 0.999 0.316
O 0.585 0.995 0.689
O 0.609 0.621 0.326

Results
SG: C2

---

Below is an optimized crystal structure of K2CrReO6, with properties calculated at the GGA+U level.

a = 5.575 Å, b = 5.575 Å, c = 5.575 Å
α = 60.00°, β = 60.00°, γ = 60.00°
Sites, in units of the cell vectors:
K 0.250 0.250 0.250
K 0.750 0.750 0.750
Cr 0.000 0.000 0.000
Re 0.500 0.500 0.500
O 0.258 0.258 0.742
O 0.258 0.742 0.258
O 0.258 0.742 0.742
O 0.742 0.258 0.258
O 0.742 0.258 0.742
O 0.742 0.742 0.258

Results
SG: Fm-3m

---

Below is an optimized crystal structure of KCrRhO6, with properties calculated at the GGA+U level.

a = 5.088 Å, b = 5.166 Å, c = 6.009 Å
α = 90.02°, β = 90.66°, γ = 118.88°
Sites, in units of the cell vectors:
K 0.000 0.000 0.000
Cr 0.337 0.686 0.494
Rh 0.668 0.337 0.505
O 0.009 0.386 0.678
O 0.010 0.620 0.326
O 0.377 0.382 0.326
O 0.378 0.986 0.676
O 0.604 0.617 0.679
O 0.613 0.983 0.328

Results
SG: P1

---

Below is an optimized crystal structure of K2CrRhO4, with properties calculated at the GGA+U level.

a = 5.480 Å, b = 3.183 Å, c = 6.196 Å
α = 90.00°, β = 107.36°, γ = 90.00°
Sites, in units of the cell vectors:
K 0.000 0.000 0.000
K 0.500 0.500 0.000
Cr 0.000 0.500 0.500
Rh 0.500 0.000 0.500
O 0.217 0.000 0.673
O 0.270 0.500 0.329
O 0.730 0.500 0.671
O 0.783 0.000 0.327

Results
SG: P2/m

---

Below is an optimized crystal structure of KCr2RuO8, with properties calculated at the GGA+U level.

a = 5.396 Å, b = 5.396 Å, c = 7.610 Å
α = 90.00°, β = 90.00°, γ = 120.00°
Sites, in units of the cell vectors:
K 0.000 0.000 0.000
Cr 0.333 0.667 0.726
Cr 0.667 0.333 0.274
Ru 0.000 0.000 0.500
O 0.100 0.331 0.654
O 0.231 0.900 0.654
O 0.331 0.231 0.346
O 0.333 0.667 0.940
O 0.667 0.333 0.060
O 0.669 0.769 0.654
O 0.769 0.100 0.346
O 0.900 0.669 0.346

Results
SG: P-3

---

Below is an optimized crystal structure of K2CrRuO6, with properties calculated at the GGA+U level.

a = 5.554 Å, b = 5.554 Å, c = 5.554 Å
α = 60.00°, β = 60.00°, γ = 60.00°
Sites, in units of the cell vectors:
K 0.250 0.250 0.250
K 0.750 0.750 0.750
Cr 0.000 0.000 0.000
Ru 0.500 0.500 0.500
O 0.256 0.256 0.744
O 0.256 0.744 0.256
O 0.256 0.744 0.744
O 0.744 0.256 0.256
O 0.744 0.256 0.744
O 0.744 0.744 0.256

Results
SG: Fm-3m

---

Below is an optimized crystal structure of K2CrSO7, with properties calculated at the GGA+U level.

a = 7.526 Å, b = 7.523 Å, c = 14.947 Å
α = 90.00°, β = 117.80°, γ = 90.00°
Sites, in units of the cell vectors:
K 0.026 0.117 0.156
K 0.026 0.383 0.656
K 0.448 0.722 0.636
K 0.448 0.778 0.136
K 0.552 0.222 0.864
K 0.552 0.278 0.364
K 0.974 0.617 0.344
K 0.974 0.883 0.844
Cr 0.101 0.170 0.421
Cr 0.101 0.330 0.921
Cr 0.899 0.670 0.079
Cr 0.899 0.830 0.579
S 0.493 0.715 0.884
S 0.493 0.785 0.384
S 0.507 0.215 0.616
S 0.507 0.285 0.116
O 0.026 0.005 0.637
O 0.026 0.495 0.137
O 0.032 0.701 0.546
O 0.032 0.799 0.046
O 0.165 0.218 0.847
O 0.165 0.282 0.347
O 0.328 0.097 0.532
O 0.328 0.403 0.032
O 0.374 0.584 0.807
O 0.374 0.916 0.307
O 0.388 0.703 0.435
O 0.388 0.797 0.935
O 0.411 0.154 0.153
O 0.411 0.346 0.653
O 0.589 0.654 0.347
O 0.589 0.846 0.847
O 0.612 0.203 0.065
O 0.612 0.297 0.565
O 0.626 0.084 0.693
O 0.626 0.416 0.193
O 0.672 0.597 0.968
O 0.672 0.903 0.468
O 0.835 0.718 0.653
O 0.835 0.782 0.153
O 0.968 0.201 0.954
O 0.968 0.299 0.454
O 0.974 0.505 0.863
O 0.974 0.995 0.363

Results
SG: P2_1/c

---

Below is an optimized crystal structure of KCrSb2O, with properties calculated at the GGA+U level.

a = 6.013 Å, b = 6.013 Å, c = 5.612 Å
α = 90.00°, β = 90.00°, γ = 90.00°
Sites, in units of the cell vectors:
K 0.000 0.000 0.000
Cr 0.000 0.000 0.500
Sb 0.000 0.500 0.000
Sb 0.500 0.000 0.000
O 0.500 0.500 0.500

Results
SG: P4/mmm

---

Below is an optimized crystal structure of KScCrO4, with properties calculated at the GGA+U level.

a = 5.620 Å, b = 5.703 Å, c = 7.415 Å
α = 90.00°, β = 111.13°, γ = 90.00°
Sites, in units of the cell vectors:
K 0.192 0.250 0.445
K 0.808 0.750 0.555
Sc 0.323 0.250 0.967
Sc 0.677 0.750 0.033
Cr 0.225 0.750 0.153
Cr 0.775 0.250 0.847
O 0.014 0.250 0.076
O 0.029 0.750 0.295
O 0.468 0.524 0.167
O 0.468 0.976 0.167
O 0.532 0.024 0.833
O 0.532 0.476 0.833
O 0.971 0.250 0.705
O 0.986 0.750 0.924

Results
SG: P2_1/m

---

Below is an optimized crystal structure of KScCr2O8, with properties calculated at the GGA+U level.

a = 5.625 Å, b = 5.625 Å, c = 7.521 Å
α = 90.00°, β = 90.00°, γ = 120.00°
Sites, in units of the cell vectors:
K 0.000 0.000 0.000
Sc 0.000 0.000 0.500
Cr 0.333 0.667 0.743
Cr 0.667 0.333 0.257
O 0.168 0.340 0.671
O 0.173 0.832 0.671
O 0.333 0.667 0.958
O 0.340 0.173 0.329
O 0.660 0.827 0.671
O 0.667 0.333 0.042
O 0.827 0.168 0.329
O 0.832 0.660 0.329

Results
SG: P-3

---

Below is an optimized crystal structure of K3Sc2CrO6, with properties calculated at the GGA+U level.

a = 5.545 Å, b = 5.545 Å, c = 6.398 Å
α = 98.30°, β = 98.30°, γ = 120.00°
Sites, in units of the cell vectors:
K 0.000 0.000 0.000
K 0.334 0.666 0.000
K 0.666 0.334 0.000
Sc 0.167 0.833 0.500
Sc 0.833 0.167 0.500
Cr 0.500 0.500 0.500
O 0.116 0.441 0.324
O 0.233 0.233 0.676
O 0.441 0.116 0.324
O 0.559 0.884 0.676
O 0.767 0.767 0.324
O 0.884 0.559 0.676

Results
SG: C2/m

---

Below is an optimized crystal structure of KCrSe2O8, with properties calculated at the GGA+U level.

a = 9.027 Å, b = 9.027 Å, c = 9.027 Å
α = 32.23°, β = 32.23°, γ = 32.23°
Sites, in units of the cell vectors:
K 0.000 0.000 0.000
Cr 0.500 0.500 0.500
Se 0.234 0.234 0.234
Se 0.766 0.766 0.766
O 0.118 0.480 0.761
O 0.239 0.882 0.520
O 0.299 0.299 0.299
O 0.480 0.761 0.118
O 0.520 0.239 0.882
O 0.701 0.701 0.701
O 0.761 0.118 0.480
O 0.882 0.520 0.239

Results
SG: R-3

---

Below is an optimized crystal structure of KCr2SiO8, with properties calculated at the GGA+U level.

a = 5.031 Å, b = 5.031 Å, c = 7.807 Å
α = 94.00°, β = 94.00°, γ = 63.96°
Sites, in units of the cell vectors:
K 0.000 0.000 0.000
Cr 0.368 0.368 0.697
Cr 0.632 0.632 0.303
Si 0.000 0.000 0.500
O 0.205 0.205 0.555
O 0.210 0.743 0.662
O 0.257 0.790 0.338
O 0.317 0.317 0.893
O 0.683 0.683 0.107
O 0.743 0.210 0.662
O 0.790 0.257 0.338
O 0.795 0.795 0.445

Results
SG: C2/m

---

Below is an optimized crystal structure of KCrSiO4, with properties calculated at the GGA+U level.

a = 5.240 Å, b = 5.456 Å, c = 7.283 Å
α = 90.00°, β = 109.58°, γ = 90.00°
Sites, in units of the cell vectors:
K 0.187 0.250 0.442
K 0.813 0.750 0.558
Cr 0.296 0.250 0.976
Cr 0.704 0.750 0.024
Si 0.242 0.750 0.148
Si 0.758 0.250 0.852
O 0.014 0.750 0.930
O 0.052 0.750 0.286
O 0.460 0.519 0.172
O 0.460 0.981 0.172
O 0.540 0.019 0.828
O 0.540 0.481 0.828
O 0.948 0.250 0.714
O 0.986 0.250 0.070

Results
SG: P2_1/m

---

Below is an optimized crystal structure of K2SmCrO4, with properties calculated at the GGA+U level.

a = 5.775 Å, b = 3.384 Å, c = 6.499 Å
α = 90.00°, β = 107.64°, γ = 90.00°
Sites, in units of the cell vectors:
K 0.000 0.000 0.000
K 0.500 0.500 0.000
Sm 0.000 0.500 0.500
Cr 0.500 0.000 0.500
O 0.256 0.000 0.685
O 0.297 0.500 0.322
O 0.703 0.500 0.678
O 0.744 0.000 0.315

Results
SG: P2/m

---

| no. | calculated total energy (Ha/atom) |
| --- | --- |
| 1 | -0.314 |
| 2 | -0.288 |
| 3 | -0.216 |
| 4 | -0.218 |
| 5 | -0.216 |
| 6 | -0.267 |
| 7 | -0.255 |
| 8 | -0.222 |
| 9 | -0.221 |
| 10 | -0.245 |
| 11 | -0.226 |
| 12 | -0.221 |
| 13 | -0.095 |
| 14 | -0.264 |
| 15 | -0.258 |
| 16 | -0.252 |
| 17 | -0.211 |
| 18 | -0.248 |
| 19 | -0.256 |
| 20 | -0.236 |